Density functional theory data (PBE) for an optimized crystal structure of TiNiOs.

Cell: 7.870 4.839 5.173 Å, 90.00 122.84 90.00°
Atoms (fractional coordinates):
Ti1 0.000 0.000 0.000
Ti2 0.000 0.240 0.500
Ti3 0.500 0.500 0.000
Ti4 0.500 0.740 0.500
Ni1 0.166 0.535 0.006
Ni2 0.334 0.035 0.994
Ni3 0.666 0.035 0.006
Ni4 0.834 0.535 0.994
Os1 0.174 0.726 0.517
Os2 0.326 0.226 0.483
Os3 0.674 0.226 0.517
Os4 0.826 0.726 0.483

Values from the calculation:
symmetry	C2
spin magnetization	0.000	μB per atom
polymorph energy (0 for the lowest one)	176.9	meV per atom
energy of formation	-0.26	eV/atom



Density functional theory data (PBE) for an optimized crystal structure of Pm4GaGe5.

Cell: 7.021 7.021 7.021 Å, 101.40 101.40 127.22°
Atoms (fractional coordinates):
Pm1 0.074 0.289 0.364
Pm2 0.289 0.926 0.215
Pm3 0.711 0.074 0.785
Pm4 0.926 0.711 0.636
Ga1 0.711 0.711 0.000
Ge1 0.234 0.584 0.819
Ge2 0.293 0.293 0.000
Ge3 0.415 0.234 0.650
Ge4 0.584 0.765 0.350
Ge5 0.765 0.415 0.181

Values from the calculation:
symmetry	I4
spin magnetization	0.000	μB per atom
energy of formation	-0.46	eV/atom



Density functional theory data (PBE) for an optimized crystal structure of ZrPb2Au.

Cell: 6.453 10.095 3.333 Å, 90.00 116.03 90.00°
Atoms (fractional coordinates):
Zr1 0.000 0.000 0.000
Zr2 0.500 0.500 0.000
Pb1 0.250 0.250 0.500
Pb2 0.250 0.750 0.500
Pb3 0.750 0.250 0.500
Pb4 0.750 0.750 0.500
Au1 0.000 0.500 0.000
Au2 0.500 0.000 0.000

Values from the calculation:
symmetry	C2/m
spin magnetization	0.000	μB per atom
polymorph energy (0 for the lowest one)	153.5	meV per atom
energy of formation	-0.02	eV/atom



Density functional theory data (PBE) for an optimized crystal structure of La2Pr6NdIn.

Cell: 8.858 8.858 9.510 Å, 90.79 90.79 74.06°
Atoms (fractional coordinates):
La1 0.157 0.315 0.195
La2 0.315 0.157 0.695
La3 0.685 0.843 0.305
La4 0.843 0.685 0.805
Pr1 0.023 0.787 0.107
Pr2 0.128 0.605 0.502
Pr3 0.213 0.977 0.393
Pr4 0.266 0.507 0.896
Pr5 0.395 0.872 0.998
Pr6 0.493 0.734 0.604
Pr7 0.507 0.266 0.396
Pr8 0.605 0.128 0.002
Pr9 0.734 0.493 0.104
Pr10 0.787 0.023 0.607
Pr11 0.872 0.395 0.498
Pr12 0.977 0.213 0.893
Nd1 0.384 0.616 0.250
Nd2 0.616 0.384 0.750
In1 0.135 0.865 0.750
In2 0.865 0.135 0.250

Values from the calculation:
symmetry	C2/c
spin magnetization	0.000	μB per atom
energy of formation	0.01	eV/atom



Density functional theory data (PBE) for an optimized crystal structure of BaFeHg.

Cell: 4.638 4.638 4.823 Å, 90.00 90.00 120.00°
Atoms (fractional coordinates):
Ba1 0.000 0.000 0.000
Fe1 0.667 0.333 0.500
Hg1 0.333 0.667 0.500

Values from the calculation:
symmetry	P-6m2
spin magnetization	0.784	μB per atom
polymorph energy (0 for the lowest one)	0.0	meV per atom
energy of formation	0.22	eV/atom



Density functional theory data (PBE) for an optimized crystal structure of MgZr2Bi2.

Cell: 8.115 8.115 3.861 Å, 90.00 90.00 90.00°
Atoms (fractional coordinates):
Mg1 0.000 0.000 0.000
Mg2 0.500 0.500 0.000
Zr1 0.137 0.363 0.500
Zr2 0.363 0.863 0.500
Zr3 0.637 0.137 0.500
Zr4 0.863 0.637 0.500
Bi1 0.155 0.655 0.000
Bi2 0.345 0.155 0.000
Bi3 0.655 0.845 0.000
Bi4 0.845 0.345 0.000

Values from the calculation:
symmetry	P4/mbm
spin magnetization	0.000	μB per atom
polymorph energy (0 for the lowest one)	0.0	meV per atom
energy of formation	-0.18	eV/atom



| no. | V (Å³/cell) |
| --- | --- |
| 1 | 166 |
| 2 | 247 |
| 3 | 195 |
| 4 | 717 |
| 5 | 90 |
| 6 | 254 |